HgSb2TeF | PBE | optimized geometry

Cell lengths 5.5715, 5.5715, 5.5851 Å; angles 90.00, 90.00, 90.00 degrees
With the nearest neighbours (Å) after each atom.
Element x y z (fractional)
Hg 0.0000 0.0000 0.0000  4 Sb 2.79, 2 Te 2.79
Sb 0.0000 0.5000 0.0000  2 Hg 2.79
Sb 0.5000 0.0000 0.0000  2 Hg 2.79
Te 0.0000 0.0000 0.5000  2 Hg 2.79
F 0.5000 0.5000 0.5000  4 Te 3.94, 8 Sb 3.94

## Properties
DOS(E_F)   6.2 states/eV per cell
Calculated total energy   -0.0800 Ha/atom
Raw formation energy   0.536 eV/atom
Total magnetic moment   0.00 μB per formula unit
Volume   173.4 Å³/cell